# CdC3Br PBEsol optimized geometry
data_CdC3Br
_chemical_formula_sum 'Cd1 C3 Br1'
_cell_length_a 4.328
_cell_length_b 4.328
_cell_length_c 4.328
_cell_angle_alpha 90.00
_cell_angle_beta 90.00
_cell_angle_gamma 90.00
_space_group_name_H-M_alt 'P 1'
_space_group_IT_number 1
loop_
_space_group_symop_operation_xyz
'x,y,z'
loop_
_atom_site_label
_atom_site_fract_x
_atom_site_fract_y
_atom_site_fract_z
_atom_site_occupancy
Cd1 0.000 0.000 0.000 1
C1 0.000 0.000 0.500 1
C2 0.000 0.500 0.000 1
C3 0.500 0.000 0.000 1
Br1 0.500 0.500 0.500 1
# formation energy without anion corrections: 3.470 eV per atom
# symmetry: Pm-3m (221)
# electronic total energy: -14.65 eV for the cell shown
# total magnetic moment: 0.498 μB per atom
# D(E_F): 0.934 states/eV/atom
# calculated volume: 81.1 Å³/f.u.

# NaC2I PBEsol optimized geometry
data_NaC2I
_chemical_formula_sum 'Na1 C2 I1'
_cell_length_a 4.322
_cell_length_b 4.322
_cell_length_c 4.322
_cell_angle_alpha 60.00
_cell_angle_beta 60.00
_cell_angle_gamma 60.00
_space_group_name_H-M_alt 'P 1'
_space_group_IT_number 1
loop_
_space_group_symop_operation_xyz
'x,y,z'
loop_
_atom_site_label
_atom_site_fract_x
_atom_site_fract_y
_atom_site_fract_z
_atom_site_occupancy
Na1 0.000 0.000 0.000 1
C1 0.250 0.250 0.250 1
C2 0.750 0.750 0.750 1
I1 0.500 0.500 0.500 1
# formation energy without anion corrections: 2.476 eV per atom
# symmetry: Fm-3m (225)
# electronic total energy: -12.55 eV for the cell shown
# total magnetic moment: 0.000 μB per atom
# D(E_F): 0.608 states/eV/atom
# calculated volume: 57.1 Å³/f.u.

# TlTeCl2 PBEsol optimized geometry
data_TlTeCl2
_chemical_formula_sum 'Tl1 Te1 Cl2'
_cell_length_a 5.853
_cell_length_b 5.853
_cell_length_c 3.361
_cell_angle_alpha 105.91
_cell_angle_beta 105.91
_cell_angle_gamma 101.30
_space_group_name_H-M_alt 'P 1'
_space_group_IT_number 1
loop_
_space_group_symop_operation_xyz
'x,y,z'
loop_
_atom_site_label
_atom_site_fract_x
_atom_site_fract_y
_atom_site_fract_z
_atom_site_occupancy
Tl1 0.000 0.000 0.000 1
Te1 0.500 0.500 0.000 1
Cl1 0.000 0.500 0.500 1
Cl2 0.500 0.000 0.500 1
# distance to the lowest polymorph of the same formula: 27.7 meV per atom
# formation energy without anion corrections: -0.356 eV per atom
# symmetry: C2/m (12)
# electronic total energy: -11.59 eV for the cell shown
# total magnetic moment: 0.000 μB per atom
# D(E_F): 0.350 states/eV/atom
# calculated volume: 101.8 Å³/f.u.